Compound: TmPaH
Source: the Alexandria database
Functional: PBE
Structure: relaxed

a b c (Å): 3.327 3.327 5.832
angles (deg): 90.00 90.00 120.00
Positions (direct):
Tm  0.667  0.333  0.417
Pa  0.000  0.000  0.923
H  0.333  0.667  0.660

Computed properties:
The space group is P3m1. The value obtained for the distance to the lowest polymorph of the same formula is 0.0000 eV/atom. The density of states at the Fermi level comes out at 1.59 states/eV/atom. Its electronic total energy is -5.88 eV per atom. Its total magnetization is 0.000 μB/f.u.